Here is a relaxed structure of ZnGa3O from the Alexandria database. Energies are from GGA-PBEsol.

a b c (Å): 4.609 4.609 4.609
angles (deg): 90.00 90.00 90.00
Space group Pm-3m (No. 221)
Inequivalent atoms, fractional coordinates:
Zn1 0.000 0.000 0.000
Ga1 0.000 0.000 0.500
O1 0.500 0.500 0.500

Raw formation energy: 0.507 eV/atom
DOS(E_F): 1.34 states/eV/f.u.